A plane-wave DFT calculation with PBE was carried out for Ca3SnSb after structural relaxation.

Calculated values
The value obtained for the density of states at the Fermi level is 0.393 states/eV/atom. The calculation puts the final energy at -3.52 eV per atom. Its space group is C2/m (12). The value obtained for the excess energy over the best structure of this formula in the dataset is 0.000 eV per atom. For the uncorrected formation energy, the calculation gives -691 meV/atom.

Unit cell a=4.390 b=8.678 c=8.972 alpha=94.25 beta=90.00 gamma=104.64
Atoms (fractional coordinates):
1 Ca 0.069 0.172 0.385
2 Ca 0.421 0.876 0.623
3 Ca 0.623 0.278 0.798
4 Ca 0.975 0.982 0.036
5 Ca 0.260 0.554 0.030
6 Ca 0.784 0.600 0.392
7 Sn 0.220 0.473 0.641
8 Sn 0.824 0.682 0.780
9 Sb 0.412 0.857 0.277
10 Sb 0.632 0.297 0.145